# LaPr3DyTm

A geometry-optimized LaPr3DyTm structure (PBE-GGA, the Alexandria database).

## Properties
calculated volume: 208 Å³/f.u.
raw total energy: -4.70 eV/atom
symmetry: P2_1/m (11)

abc: 8.132 5.201 10.375
angles: 90.00 108.64 90.00
Positions (direct):
La (0.172, 0.250, 0.292)
La (0.828, 0.750, 0.708)
Pr (0.172, 0.250, 0.793)
Pr (0.172, 0.750, 0.544)
Pr (0.173, 0.750, 0.042)
Pr (0.827, 0.250, 0.958)
Pr (0.828, 0.250, 0.456)
Pr (0.828, 0.750, 0.207)
Dy (0.500, 0.250, 0.626)
Dy (0.500, 0.750, 0.374)
Tm (0.498, 0.750, 0.876)
Tm (0.502, 0.250, 0.124)